Record 1
The following is a PBE calculation of a relaxed structure of SrTa2Co, from the Alexandria database.

The structure belongs to space group Imm2 (No. 44); the cell edges are 3.278, 3.764 and 15.369 Å and the angles 90.00°, 90.00° and 90.00°. Symmetry generates all atoms from Sr at (0.000, 0.000, 0.000), Ta at (0.000, 0.000, 0.673), Ta at (0.000, 0.500, 0.810) and Co at (0.000, 0.500, 0.289).

As for the magnetic moment: 0.000 μB/f.u. Its formation energy is 622 meV/atom. Its mass density is 8.903 g/cm³. The volume comes out at 190 Å³ per cell. The calculated total energy comes out at -7.50 eV/atom.



Record 2
The following is a PBE calculation of a relaxed structure of Sr2TaCo, from the Alexandria database.

The structure belongs to space group C2/m (No. 12); the cell edges are 18.816, 3.357 and 3.750 Å and the angles 90.00°, 101.40° and 90.00°. Symmetry generates all atoms from Sr at (0.151, 0.000, 0.150), Ta at (0.000, 0.000, 0.500) and Co at (0.000, 0.500, 0.000).

As for the magnetic moment: 0.541 μB/f.u. Its formation energy is 473 meV/atom. Its mass density is 5.937 g/cm³. The volume comes out at 232 Å³ per cell. The calculated total energy comes out at -5.11 eV/atom.



Record 3
The following is a PBE calculation of a relaxed structure of SrTaCo, from the Alexandria database.

The structure belongs to space group F-43m (No. 216); the cell edges are 6.465, 6.465 and 6.465 Å and the angles 90.00°, 90.00° and 90.00°. Symmetry generates all atoms from Sr at (0.000, 0.000, 0.000), Ta at (0.000, 0.000, 0.500) and Co at (0.250, 0.250, 0.750).

As for the magnetic moment: 0.001 μB/f.u. Its formation energy is 1056 meV/atom. Its mass density is 8.049 g/cm³. The volume comes out at 270 Å³ per cell. The calculated total energy comes out at -5.82 eV/atom.



Record 4
The following is a PBE calculation of a relaxed structure of SrTa2Co, from the Alexandria database.

The structure belongs to space group P4mm (No. 99); the cell edges are 3.115, 3.115 and 8.522 Å and the angles 90.00°, 90.00° and 90.00°. Symmetry generates all atoms from Sr at (0.000, 0.000, 0.000), Ta at (0.000, 0.000, 0.576), Ta at (0.500, 0.500, 0.348) and Co at (0.500, 0.500, 0.718).

As for the magnetic moment: 0.000 μB/f.u. Its formation energy is 358 meV/atom. Its mass density is 10.208 g/cm³. The volume comes out at 83 Å³ per cell. The calculated total energy comes out at -7.77 eV/atom.



Question: Among the records above, which one has the highest mass density?
Answer: number 4



What did the second record say?
The following is a PBE calculation of a relaxed structure of Sr2TaCo, from the Alexandria database.

The structure belongs to space group C2/m (No. 12); the cell edges are 18.816, 3.357 and 3.750 Å and the angles 90.00°, 101.40° and 90.00°. Symmetry generates all atoms from Sr at (0.151, 0.000, 0.150), Ta at (0.000, 0.000, 0.500) and Co at (0.000, 0.500, 0.000).

As for the magnetic moment: 0.541 μB/f.u. Its formation energy is 473 meV/atom. Its mass density is 5.937 g/cm³. The volume comes out at 232 Å³ per cell. The calculated total energy comes out at -5.11 eV/atom.



Question: Look up the magnetic moment of the fourth one.
Answer: 0.000 μB/f.u.



Question: What is the formula in the fourth record?
Answer: SrTa2Co